Ba2SrBiRu after structural relaxation. Source: Alexandria via LeMat-Bulk, functional GGA-PBE.

M_tot	0.07	μB/atom
E_form	72.75	kJ per mole of atoms

Unit cell a=6.723 b=4.786 c=6.723 alpha=90.00 beta=90.00 gamma=90.00
Element x y z (fractional)
Bi: 0.500 0.500 0.500
Ba: 0.000 0.000 0.500
Ba: 0.500 0.000 0.000
Ru: 0.000 0.500 0.000
Sr: 0.000 0.000 0.000